# 1
A plane-wave DFT calculation with PBE was carried out for an optimized crystal structure of DyHoInOs.

Properties
For the formation energy, the calculation gives -24.1 kJ/mol of atoms. The calculated density is 11.68 Mg/m³. The energy above the lowest structure with this stoichiometry is 123 meV per atom. As for the density of states at the Fermi level: 0.65 states/eV/atom.

abc: 7.1122 7.1122 7.1122
angles: 90.00 90.00 90.00
Closest atoms and distances in Å follow each position.
Sites, in units of the cell vectors:
Dy: 0.0000 0.0000 0.0000  4 In 3.08, 4 Os 3.08
Dy: 0.0000 0.5000 0.5000  4 In 3.08, 4 Os 3.08
Dy: 0.5000 0.0000 0.5000  4 In 3.08, 4 Os 3.08
Dy: 0.5000 0.5000 0.0000  4 In 3.08, 4 Os 3.08
Ho: 0.0000 0.0000 0.5000  4 Os 3.08, 4 In 3.08
Ho: 0.0000 0.5000 0.0000  4 Os 3.08, 4 In 3.08
Ho: 0.5000 0.0000 0.0000  4 Os 3.08, 4 In 3.08
Ho: 0.5000 0.5000 0.5000  4 Os 3.08, 4 In 3.08
In: 0.2500 0.2500 0.7500  4 Dy 3.08, 4 Ho 3.08
In: 0.2500 0.7500 0.2500  4 Dy 3.08, 4 Ho 3.08
In: 0.7500 0.2500 0.2500  4 Dy 3.08, 4 Ho 3.08
In: 0.7500 0.7500 0.7500  4 Dy 3.08, 4 Ho 3.08
Os: 0.2500 0.2500 0.2500  4 Dy 3.08, 4 Ho 3.08
Os: 0.2500 0.7500 0.7500  4 Dy 3.08, 4 Ho 3.08
Os: 0.7500 0.2500 0.7500  4 Dy 3.08, 4 Ho 3.08
Os: 0.7500 0.7500 0.2500  4 Dy 3.08, 4 Ho 3.08


# 2
A plane-wave DFT calculation with PBE was carried out for an optimized crystal structure of Th2Cd2Hg.

Properties
For the formation energy, the calculation gives -4.3 kJ/mol of atoms. The calculated density is 10.77 Mg/m³. The energy above the lowest structure with this stoichiometry is 112 meV per atom. As for the density of states at the Fermi level: 1.22 states/eV/atom.

abc: 4.2550 6.5349 9.8627
angles: 90.00 90.00 90.00
Closest atoms and distances in Å follow each position.
Sites, in units of the cell vectors:
Th: 0.0000 0.0000 0.2236  6 Cd 3.31-3.36, 2 Hg 3.46
Th: 0.0000 0.0000 0.7764  6 Cd 3.31-3.36, 2 Hg 3.46
Th: 0.5000 0.5000 0.2764  6 Cd 3.31-3.36, 2 Hg 3.46
Th: 0.5000 0.5000 0.7236  6 Cd 3.31-3.36, 2 Hg 3.46
Cd: 0.0000 0.2883 0.5000  1 Cd 2.77, 2 Hg 2.84
Cd: 0.0000 0.7117 0.5000  1 Cd 2.77, 2 Hg 2.84
Cd: 0.5000 0.2117 0.0000  1 Cd 2.77, 2 Hg 2.84
Cd: 0.5000 0.7883 0.0000  1 Cd 2.77, 2 Hg 2.84
Hg: 0.0000 0.5000 0.0000  4 Cd 2.84
Hg: 0.5000 0.0000 0.5000  4 Cd 2.84


# 3
A plane-wave DFT calculation with PBE was carried out for an optimized crystal structure of Sr3LiPd.

Properties
For the formation energy, the calculation gives -24.3 kJ/mol of atoms. The calculated density is 3.36 Mg/m³. The energy above the lowest structure with this stoichiometry is 24 meV per atom. As for the density of states at the Fermi level: 0.75 states/eV/atom.

abc: 4.3006 9.2769 9.3288
angles: 90.00 90.48 90.00
Closest atoms and distances in Å follow each position.
Sites, in units of the cell vectors:
Sr: 0.2398 0.2500 0.4995  2 Li 3.90-3.98, 8 Sr 4.09-4.30
Sr: 0.2542 0.5421 0.1707  3 Pd 3.19-3.27, 3 Li 3.46-3.52
Sr: 0.2542 0.9579 0.1707  3 Pd 3.19-3.27, 3 Li 3.46-3.52
Sr: 0.7458 0.0421 0.8293  3 Pd 3.19-3.27, 3 Li 3.46-3.52
Sr: 0.7458 0.4579 0.8293  3 Pd 3.19-3.27, 3 Li 3.46-3.52
Sr: 0.7602 0.7500 0.5005  2 Li 3.90-3.98, 8 Sr 4.09-4.30
Li: 0.2492 0.7500 0.8548  2 Pd 2.67
Li: 0.7508 0.2500 0.1452  2 Pd 2.67
Pd: 0.2482 0.2500 0.9751  2 Li 2.67
Pd: 0.7518 0.7500 0.0249  2 Li 2.67


# 4
A plane-wave DFT calculation with PBE was carried out for an optimized crystal structure of MnBeSe2.

Properties
Its uncorrected formation energy is -37 meV/atom. The calculated density is 3.89 Mg/m³. As for the density of states at the Fermi level: 0.26 states/eV/atom.

abc: 3.4008 8.0199 6.9516
angles: 90.00 90.00 90.00
Closest atoms and distances in Å follow each position.
Sites, in units of the cell vectors:
Mn: 0.0000 0.0000 0.0000  4 Se 2.55
Mn: 0.5000 0.5000 0.0000  4 Se 2.55
Be: 0.0000 0.0000 0.5000  4 Se 2.31
Be: 0.5000 0.5000 0.5000  4 Se 2.31
Se: 0.0000 0.5000 0.2740  2 Be 2.31, 2 Mn 2.55
Se: 0.0000 0.5000 0.7260  2 Be 2.31, 2 Mn 2.55
Se: 0.5000 0.0000 0.2740  2 Be 2.31, 2 Mn 2.55
Se: 0.5000 0.0000 0.7260  2 Be 2.31, 2 Mn 2.55